Entry 1:
Here is a relaxed structure of AlAsHBr2 from the Alexandria database. Energies are from PBE.

Output
* theoretical density: 4.2 g cm⁻³
* relative energy among the computed polymorphs: 0.0 meV per atom
* space group: P4/mmm (123)

Structure (CIF):
```
data_AlAsHBr2
_chemical_formula_sum 'Al1 As1 H1 Br2'
_symmetry_space_group_name_H-M 'P 1'
_symmetry_Int_Tables_number 1
_cell_length_a 5.444
_cell_length_b 5.444
_cell_length_c 3.517
_cell_angle_alpha 90.00
_cell_angle_beta 90.00
_cell_angle_gamma 90.00
loop_
_symmetry_equiv_pos_as_xyz
'x,y,z'
loop_
_atom_site_label
_atom_site_type_symbol
_atom_site_fract_x
_atom_site_fract_y
_atom_site_fract_z
Al1 Al 0.500 0.500 0.500
Br1 Br 0.000 0.500 0.000
H1 H 0.000 0.000 0.000
As1 As 0.000 0.000 0.500
Br2 Br 0.500 0.000 0.000
```

Entry 2:
Here is a relaxed structure of AlAsHBr2 from the Alexandria database. Energies are from PBE.

Output
* theoretical density: 3.2 g cm⁻³
* relative energy among the computed polymorphs: 32.3 meV per atom
* space group: P4/mmm (123)

Structure (CIF):
```
data_AlAsHBr2
_chemical_formula_sum 'Al1 As1 H1 Br2'
_symmetry_space_group_name_H-M 'P 1'
_symmetry_Int_Tables_number 1
_cell_length_a 5.213
_cell_length_b 5.213
_cell_length_c 5.009
_cell_angle_alpha 90.00
_cell_angle_beta 90.00
_cell_angle_gamma 90.00
loop_
_symmetry_equiv_pos_as_xyz
'x,y,z'
loop_
_atom_site_label
_atom_site_type_symbol
_atom_site_fract_x
_atom_site_fract_y
_atom_site_fract_z
Br1 Br 0.500 0.000 0.000
As1 As 0.000 0.000 0.500
Al1 Al 0.000 0.000 0.000
Br2 Br 0.000 0.500 0.000
H1 H 0.500 0.500 0.500
```

Entry 3:
Here is a relaxed structure of AlHgAsBr2 from the Alexandria database. Energies are from PBE.

Output
* theoretical density: 5.6 g cm⁻³
* relative energy among the computed polymorphs: 0.0 meV per atom
* space group: P4/mmm (123)

Structure (CIF):
```
data_AlHgAsBr2
_chemical_formula_sum 'Al1 Hg1 As1 Br2'
_symmetry_space_group_name_H-M 'P 1'
_symmetry_Int_Tables_number 1
_cell_length_a 5.094
_cell_length_b 5.094
_cell_length_c 5.236
_cell_angle_alpha 90.00
_cell_angle_beta 90.00
_cell_angle_gamma 90.00
loop_
_symmetry_equiv_pos_as_xyz
'x,y,z'
loop_
_atom_site_label
_atom_site_type_symbol
_atom_site_fract_x
_atom_site_fract_y
_atom_site_fract_z
Br1 Br 0.000 0.500 0.000
As1 As 0.000 0.000 0.500
Hg1 Hg 0.500 0.500 0.500
Br2 Br 0.500 0.000 0.000
Al1 Al 0.000 0.000 0.000
```

Entry 4:
Here is a relaxed structure of AlHgAsBr2 from the Alexandria database. Energies are from PBE.

Output
* theoretical density: 4.4 g cm⁻³
* relative energy among the computed polymorphs: 467.8 meV per atom
* space group: P4/mmm (123)

Structure (CIF):
```
data_AlHgAsBr2
_chemical_formula_sum 'Al1 Hg1 As1 Br2'
_symmetry_space_group_name_H-M 'P 1'
_symmetry_Int_Tables_number 1
_cell_length_a 5.803
_cell_length_b 5.803
_cell_length_c 5.209
_cell_angle_alpha 90.00
_cell_angle_beta 90.00
_cell_angle_gamma 90.00
loop_
_symmetry_equiv_pos_as_xyz
'x,y,z'
loop_
_atom_site_label
_atom_site_type_symbol
_atom_site_fract_x
_atom_site_fract_y
_atom_site_fract_z
Br1 Br 0.000 0.500 0.000
As1 As 0.000 0.000 0.500
Br2 Br 0.500 0.000 0.000
Al1 Al 0.500 0.500 0.500
Hg1 Hg 0.000 0.000 0.000
```

Entry 5:
Here is a relaxed structure of AlAs2IBr from the Alexandria database. Energies are from PBE.

Output
* theoretical density: 5.0 g cm⁻³
* relative energy among the computed polymorphs: 0.0 meV per atom
* space group: P4/mmm (123)

Structure (CIF):
```
data_AlAs2IBr
_chemical_formula_sum 'Al1 As2 I1 Br1'
_symmetry_space_group_name_H-M 'P 1'
_symmetry_Int_Tables_number 1
_cell_length_a 5.095
_cell_length_b 5.095
_cell_length_c 4.943
_cell_angle_alpha 90.00
_cell_angle_beta 90.00
_cell_angle_gamma 90.00
loop_
_symmetry_equiv_pos_as_xyz
'x,y,z'
loop_
_atom_site_label
_atom_site_type_symbol
_atom_site_fract_x
_atom_site_fract_y
_atom_site_fract_z
As1 As 0.000 0.500 0.000
I1 I 0.500 0.500 0.500
Al1 Al 0.000 0.000 0.000
Br1 Br 0.000 0.000 0.500
As2 As 0.500 0.000 0.000
```

Entry 6:
Here is a relaxed structure of AlAsIBr2 from the Alexandria database. Energies are from PBE.

Output
* theoretical density: 3.3 g cm⁻³
* relative energy among the computed polymorphs: 714.1 meV per atom
* space group: P4/mmm (123)

Structure (CIF):
```
data_AlAsIBr2
_chemical_formula_sum 'Al1 As1 I1 Br2'
_symmetry_space_group_name_H-M 'P 1'
_symmetry_Int_Tables_number 1
_cell_length_a 5.936
_cell_length_b 5.936
_cell_length_c 5.526
_cell_angle_alpha 90.00
_cell_angle_beta 90.00
_cell_angle_gamma 90.00
loop_
_symmetry_equiv_pos_as_xyz
'x,y,z'
loop_
_atom_site_label
_atom_site_type_symbol
_atom_site_fract_x
_atom_site_fract_y
_atom_site_fract_z
Al1 Al 0.500 0.500 0.500
Br1 Br 0.500 0.000 0.000
Br2 Br 0.000 0.500 0.000
As1 As 0.000 0.000 0.500
I1 I 0.000 0.000 0.000
```